KRb2ThI8: optimized geometry, PBE.

a b c (Å): 8.546 6.777 10.542
angles (deg): 73.19 90.65 90.15
Fractional coordinates of all 12 atoms:
K 0.000 0.000 0.500
Rb 0.510 0.333 0.815
Rb 0.490 0.667 0.185
Th 0.000 0.000 0.000
I 0.016 0.647 0.263
I 0.736 0.803 0.878
I 0.753 0.188 0.140
I 0.984 0.353 0.737
I 0.264 0.197 0.122
I 0.247 0.812 0.860
I 0.501 0.753 0.504
I 0.499 0.247 0.496

Fermi-level density of states, states/eV per atom: 0.13
Raw formation energy, eV per atom: -1.2405
Raw total energy, eV/cell: -37.74
Space-group type: P-1
M_tot, Bohr magnetons per cell: 0.00